{
  "formula": "NbNiPd4",
  "functional": "PBE",
  "state": "relaxed",
  "formation_energy_mev_per_atom": -120,
  "e_above_lowest_polymorph_mev_per_atom": 0,
  "cell": [[2.618, -3.721, 0.000], [2.618, 3.721, 0.000], [-2.614, 0.000, 4.784]],
  "species": ["Nb", "Ni", "Pd", "Pd", "Pd", "Pd"],
  "fractional_positions": [[0.000, 0.000, 0.000], [0.000, 0.000, 0.500], [0.310, 0.681, 0.746], [0.319, 0.690, 0.254], [0.681, 0.310, 0.746], [0.690, 0.319, 0.254]]
}